An optimized crystal structure of Al2ReHg. Source: the Alexandria database, functional PBE-GGA.

a = 4.9404 Å, b = 4.9404 Å, c = 4.9404 Å
α = 132.14°, β = 132.14°, γ = 70.00°
Fractional coordinates of all 4 atoms:
Re 0.7500 0.2500 0.5000
Al 0.0000 0.0000 0.0000
Al 0.5000 0.5000 0.0000
Hg 0.2500 0.7500 0.5000

Space-group type ... I4/mmm
Total magnetization ... 0.48 μB per formula unit
ΔE_f ... 188 meV/atom

An optimized crystal structure of Al2ReHg. Source: the Alexandria database, functional PBE-GGA.

a = 2.8309 Å, b = 2.8313 Å, c = 8.5247 Å
α = 90.00°, β = 90.00°, γ = 89.99°
Fractional coordinates of all 4 atoms:
Re 0.5000 0.5000 0.7758
Al 0.0000 0.0000 0.9883
Al 0.5000 0.5000 0.2315
Hg 0.0000 0.0000 0.5043

Space-group type ... P4mm
Total magnetization ... 0.00 μB per formula unit
ΔE_f ... 364 meV/atom

An optimized crystal structure of AlRe3Hg. Source: the Alexandria database, functional PBE-GGA.

a = 4.9046 Å, b = 4.9046 Å, c = 4.9046 Å
α = 90.00°, β = 90.00°, γ = 90.00°
Fractional coordinates of all 5 atoms:
Hg 0.0000 0.0000 0.0000
Re 0.0000 0.5000 0.0000
Re 0.5000 0.0000 0.0000
Re 0.0000 0.0000 0.5000
Al 0.5000 0.5000 0.5000

Excess energy over the best structure of this formula in the dataset ... 1.325 eV/atom
Space-group type ... Pm-3m
Total magnetization ... 4.80 μB per formula unit
ΔE_f ... 3180 meV/atom

- What is the formula in the third record?
  AlRe3Hg

- Which of these has the highest total magnetization?
  AlRe3Hg